# 1
ScAgB2 | PBE-GGA | relaxed Values from VASP.

Quantum ESPRESSO input file:
```
&SYSTEM
  ibrav = 0, nat = 4, ntyp = 3
/
ATOMIC_SPECIES
Sc 44.96 Sc.upf
Ag 107.87 Ag.upf
B 10.81 B.upf
ATOMIC_POSITIONS angstrom
Sc 0.000 0.000 0.000
Ag 1.488 1.488 1.488
B 2.975 2.975 2.975
B 4.463 4.463 4.463
CELL_PARAMETERS angstrom
0.000 2.975 2.975
2.975 0.000 2.975
2.975 2.975 0.000
```

Results
The total magnetic moment comes out at 0.000 μB/atom. The calculation puts the total DFT energy (no corrections) at -18.7 eV per cell.

# 2
Lu4TlBiC2 | PBE-GGA | relaxed Values from VASP.

Quantum ESPRESSO input file:
```
&SYSTEM
  ibrav = 0, nat = 8, ntyp = 4
/
ATOMIC_SPECIES
Lu 174.97 Lu.upf
Tl 204.38 Tl.upf
Bi 208.98 Bi.upf
C 12.01 C.upf
ATOMIC_POSITIONS angstrom
Lu 0.000 0.000 2.602
Lu 0.000 0.000 12.933
Lu 0.000 2.058 5.167
Lu 0.000 2.058 10.368
Tl 0.000 0.000 7.768
Bi 0.000 2.058 0.000
C 1.782 1.029 3.826
C 1.782 1.029 11.709
CELL_PARAMETERS angstrom
3.564 0.000 0.000
-1.782 3.087 0.000
0.000 0.000 15.535
```

Results
The total magnetic moment comes out at 0.000 μB/atom. The calculation puts the total DFT energy (no corrections) at -47.3 eV per cell.

# 3
NaLaHgSe3 | PBE-GGA | relaxed Values from VASP.

Quantum ESPRESSO input file:
```
&SYSTEM
  ibrav = 0, nat = 24, ntyp = 4
/
ATOMIC_SPECIES
Na 22.99 Na.upf
La 138.91 La.upf
Hg 200.59 Hg.upf
Se 78.96 Se.upf
ATOMIC_POSITIONS angstrom
Na 2.483 1.083 0.084
Na 3.281 3.249 6.970
Na 8.248 1.083 6.803
Na 9.046 3.249 13.689
La 0.139 3.249 10.197
La 5.625 1.083 3.311
La 5.904 3.249 10.462
La 11.390 1.083 3.576
Hg 2.750 3.249 2.991
Hg 3.014 1.083 9.878
Hg 8.515 3.249 3.895
Hg 8.779 1.083 10.782
Se 0.530 3.249 1.555
Se 0.931 1.083 8.261
Se 2.778 1.083 4.685
Se 2.986 3.249 11.572
Se 4.833 3.249 1.375
Se 5.234 1.083 8.442
Se 6.295 3.249 5.331
Se 6.696 1.083 12.398
Se 8.543 1.083 2.202
Se 8.751 3.249 9.088
Se 10.598 3.249 5.512
Se 10.999 1.083 12.218
CELL_PARAMETERS angstrom
11.529 0.000 0.000
0.000 4.332 0.000
0.000 0.000 13.773
```

Results
The total magnetic moment comes out at 0.001 μB/atom. The calculation puts the distance to the lowest polymorph of the same formula at 0 meV per atom.

# 4
ZrTe2 | PBE-GGA | relaxed Values from VASP.

Quantum ESPRESSO input file:
```
&SYSTEM
  ibrav = 0, nat = 6, ntyp = 2
/
ATOMIC_SPECIES
Zr 91.22 Zr.upf
Te 127.60 Te.upf
ATOMIC_POSITIONS angstrom
Zr 1.981 1.917 7.183
Zr 1.981 -1.917 0.000
Te 1.981 2.652 1.812
Te 1.981 0.371 12.550
Te 1.981 -0.371 5.367
Te 1.981 -2.652 8.995
CELL_PARAMETERS angstrom
1.981 -3.430 0.000
1.981 3.430 0.000
0.000 0.000 14.367
```

Results
The total magnetic moment comes out at 0.001 μB/atom. The calculation puts the total DFT energy (no corrections) at -34.9 eV per cell.

# 5
Ho2ErZn3Ir2Au | PBE-GGA | relaxed Values from VASP.

Quantum ESPRESSO input file:
```
&SYSTEM
  ibrav = 0, nat = 9, ntyp = 5
/
ATOMIC_SPECIES
Ho 164.93 Ho.upf
Er 167.26 Er.upf
Zn 65.41 Zn.upf
Ir 192.22 Ir.upf
Au 196.97 Au.upf
ATOMIC_POSITIONS angstrom
Ho 0.000 -3.709 3.633
Ho 0.000 3.709 3.633
Er 0.000 0.000 2.798
Zn 1.909 0.000 0.439
Zn 1.909 -1.668 4.811
Zn 1.909 1.668 4.811
Ir 1.909 -2.089 2.145
Ir 1.909 2.089 2.145
Au 0.000 0.000 5.771
CELL_PARAMETERS angstrom
3.819 0.000 0.000
0.000 6.288 3.633
0.000 -6.288 3.633
```

Results
The total magnetic moment comes out at 0.002 μB/atom. The energy of formation from the pure elements comes out at -6.46 eV per formula unit.

# 6
LiCd2Ni | PBE-GGA | relaxed Values from VASP.

Quantum ESPRESSO input file:
```
&SYSTEM
  ibrav = 0, nat = 4, ntyp = 3
/
ATOMIC_SPECIES
Li 6.94 Li.upf
Cd 112.41 Cd.upf
Ni 58.69 Ni.upf
ATOMIC_POSITIONS angstrom
Li 0.000 0.000 0.000
Cd 1.583 1.583 1.583
Cd 3.166 3.166 3.166
Ni 4.749 4.749 4.749
CELL_PARAMETERS angstrom
0.000 3.166 3.166
3.166 0.000 3.166
3.166 3.166 0.000
```

Results
The total magnetic moment comes out at 0.002 μB/atom. The calculation puts the total DFT energy (no corrections) at -9.4 eV per cell.

# 7
RbErAuSe3 | PBE-GGA | relaxed Values from VASP.

Quantum ESPRESSO input file:
```
&SYSTEM
  ibrav = 0, nat = 12, ntyp = 4
/
ATOMIC_SPECIES
Rb 85.47 Rb.upf
Er 167.26 Er.upf
Au 196.97 Au.upf
Se 78.96 Se.upf
ATOMIC_POSITIONS angstrom
Rb 2.026 3.998 7.958
Rb 2.026 -3.998 2.653
Er 0.000 0.000 0.000
Er 0.000 0.000 5.306
Au 2.026 0.560 2.653
Au 2.026 -0.560 7.958
Se 2.026 6.737 2.653
Se 2.026 1.971 0.485
Se 2.026 1.971 4.820
Se 2.026 -1.971 5.791
Se 2.026 -1.971 10.126
Se 2.026 -6.737 7.958
CELL_PARAMETERS angstrom
2.026 -7.880 0.000
2.026 7.880 0.000
0.000 0.000 10.611
```

Results
The total magnetic moment comes out at 0.014 μB/atom. The calculation puts the total DFT energy (no corrections) at -51.8 eV per cell.

# 8
TbSnHgTe3 | PBE-GGA | relaxed Values from VASP.

Quantum ESPRESSO input file:
```
&SYSTEM
  ibrav = 0, nat = 12, ntyp = 4
/
ATOMIC_SPECIES
Tb 158.93 Tb.upf
Sn 118.71 Sn.upf
Hg 200.59 Hg.upf
Te 127.60 Te.upf
ATOMIC_POSITIONS angstrom
Tb 0.000 0.000 0.000
Tb 0.000 0.000 6.120
Sn 2.171 2.141 9.180
Sn 2.171 -2.141 3.060
Hg 2.171 3.228 3.060
Hg 2.171 -3.228 9.180
Te 2.171 7.677 3.060
Te 2.171 2.186 0.061
Te 2.171 2.186 6.059
Te 2.171 -2.186 6.181
Te 2.171 -2.186 12.179
Te 2.171 -7.677 9.180
CELL_PARAMETERS angstrom
2.171 -7.710 0.000
2.171 7.710 0.000
0.000 0.000 12.240
```

Results
The total magnetic moment comes out at 0.001 μB/atom. The calculation puts the total DFT energy (no corrections) at -44.0 eV per cell.

# 9
CsReSi | PBE-GGA | relaxed Values from VASP.

Quantum ESPRESSO input file:
```
&SYSTEM
  ibrav = 0, nat = 3, ntyp = 3
/
ATOMIC_SPECIES
Cs 132.91 Cs.upf
Re 186.21 Re.upf
Si 28.09 Si.upf
ATOMIC_POSITIONS angstrom
Cs 0.000 0.000 0.000
Re 1.626 1.626 1.626
Si 3.253 3.253 3.253
CELL_PARAMETERS angstrom
0.000 3.253 3.253
3.253 0.000 3.253
3.253 3.253 0.000
```

Results
The total magnetic moment comes out at 0.003 μB/atom. The calculation puts the distance to the lowest polymorph of the same formula at 0 meV per atom.

# 10
BaNiTe2 | PBE-GGA | relaxed Values from VASP.

Quantum ESPRESSO input file:
```
&SYSTEM
  ibrav = 0, nat = 8, ntyp = 3
/
ATOMIC_SPECIES
Ba 137.33 Ba.upf
Ni 58.69 Ni.upf
Te 127.60 Te.upf
ATOMIC_POSITIONS angstrom
Ba 0.000 1.782 0.000
Ba 2.006 5.366 4.622
Ni 0.000 5.355 0.005
Ni 2.006 1.793 4.627
Te 0.000 0.786 3.381
Te 0.000 2.802 5.873
Te 2.006 4.346 1.251
Te 2.006 6.362 8.003
CELL_PARAMETERS angstrom
4.011 0.000 0.000
0.000 7.148 0.000
0.000 0.000 9.245
```

Results
The total magnetic moment comes out at 0.001 μB/atom. The calculation puts the total DFT energy (no corrections) at -33.5 eV per cell.

# 11
LiPtNO | PBE-GGA | relaxed Values from VASP.

Quantum ESPRESSO input file:
```
&SYSTEM
  ibrav = 0, nat = 8, ntyp = 4
/
ATOMIC_SPECIES
Li 6.94 Li.upf
Pt 195.08 Pt.upf
N 14.01 N.upf
O 16.00 O.upf
ATOMIC_POSITIONS angstrom
Li 0.000 0.770 0.000
Li 0.000 5.206 2.529
Pt 1.516 2.394 2.239
Pt 1.516 3.581 4.768
N 1.516 1.819 4.159
N 1.516 4.157 1.630
O 0.000 0.971 1.899
O 0.000 5.004 4.428
CELL_PARAMETERS angstrom
3.032 0.000 0.000
0.000 5.976 0.000
0.000 0.000 5.058
```

Results
The total magnetic moment comes out at 0.001 μB/atom. The calculation puts the distance to the lowest polymorph of the same formula at 0 meV per atom.

# 12
TbAlNO | PBE-GGA | relaxed Values from VASP.

Quantum ESPRESSO input file:
```
&SYSTEM
  ibrav = 0, nat = 8, ntyp = 4
/
ATOMIC_SPECIES
Tb 158.93 Tb.upf
Al 26.98 Al.upf
N 14.01 N.upf
O 16.00 O.upf
ATOMIC_POSITIONS angstrom
Tb 1.135 3.404 0.000
Tb 3.404 1.135 0.000
Al 1.135 1.135 2.395
Al 3.404 3.404 2.716
N 1.135 1.135 0.558
N 3.404 3.404 4.554
O 1.135 3.404 2.556
O 3.404 1.135 2.556
CELL_PARAMETERS angstrom
4.539 0.000 0.000
0.000 4.539 0.000
0.000 0.000 5.112
```

Results
The total magnetic moment comes out at 0.014 μB/atom. The calculation puts the distance to the lowest polymorph of the same formula at 396 meV per atom.

# 13
NdGdPd4Pb2 | PBE-GGA | relaxed Values from VASP.

Quantum ESPRESSO input file:
```
&SYSTEM
  ibrav = 0, nat = 8, ntyp = 4
/
ATOMIC_SPECIES
Nd 144.24 Nd.upf
Gd 157.25 Gd.upf
Pd 106.42 Pd.upf
Pb 207.20 Pb.upf
ATOMIC_POSITIONS angstrom
Nd 0.000 0.000 0.000
Gd 2.358 1.361 4.507
Pd 0.000 0.000 3.083
Pd 0.000 0.000 5.932
Pd 2.358 1.361 1.476
Pd 2.358 1.361 7.539
Pb 0.000 2.723 2.303
Pb 0.000 2.723 6.711
CELL_PARAMETERS angstrom
4.716 0.000 0.000
-2.358 4.084 0.000
0.000 0.000 9.014
```

Results
The total magnetic moment comes out at 0.000 μB/atom. The calculation puts the total DFT energy (no corrections) at -43.0 eV per cell.

# 14
NdHo2Cd3Au3 | PBE-GGA | relaxed Values from VASP.

Quantum ESPRESSO input file:
```
&SYSTEM
  ibrav = 0, nat = 9, ntyp = 4
/
ATOMIC_SPECIES
Nd 144.24 Nd.upf
Ho 164.93 Ho.upf
Cd 112.41 Cd.upf
Au 196.97 Au.upf
ATOMIC_POSITIONS angstrom
Nd 0.000 0.000 0.000
Ho 0.000 -2.749 3.069
Ho 0.000 2.749 3.069
Cd 1.970 0.000 2.621
Cd 1.970 -1.788 5.653
Cd 1.970 1.788 5.653
Au 0.000 0.000 4.625
Au 1.970 -4.490 4.662
Au 1.970 4.490 4.662
CELL_PARAMETERS angstrom
3.940 0.000 0.000
0.000 6.807 3.898
0.000 -6.807 3.898
```

Results
The total magnetic moment comes out at 0.001 μB/atom. The energy of formation from the pure elements comes out at -5.92 eV per formula unit.

# 15
SmHf2Si2 | PBE-GGA | relaxed Values from VASP.

Quantum ESPRESSO input file:
```
&SYSTEM
  ibrav = 0, nat = 10, ntyp = 3
/
ATOMIC_SPECIES
Sm 150.36 Sm.upf
Hf 178.49 Hf.upf
Si 28.09 Si.upf
ATOMIC_POSITIONS angstrom
Sm 0.000 0.000 0.000
Sm 3.719 3.719 0.000
Hf 1.279 2.440 1.788
Hf 2.440 6.160 1.788
Hf 4.999 1.279 1.788
Hf 6.160 4.999 1.788
Si 0.880 4.600 0.000
Si 2.839 0.880 0.000
Si 4.600 6.559 0.000
Si 6.559 2.839 0.000
CELL_PARAMETERS angstrom
7.439 0.000 0.000
0.000 7.439 0.000
0.000 0.000 3.576
```

Results
The total magnetic moment comes out at 0.000 μB/atom. The calculation puts the total DFT energy (no corrections) at -76.8 eV per cell.

# 16
KTaCoTe3 | PBE-GGA | relaxed Values from VASP.

Quantum ESPRESSO input file:
```
&SYSTEM
  ibrav = 0, nat = 12, ntyp = 4
/
ATOMIC_SPECIES
K 39.10 K.upf
Ta 180.95 Ta.upf
Co 58.93 Co.upf
Te 127.60 Te.upf
ATOMIC_POSITIONS angstrom
K 1.886 4.289 7.585
K 1.886 -4.289 2.528
Ta 1.886 0.000 0.000
Ta 1.886 0.000 5.057
Co 1.886 8.216 2.528
Co 1.886 -8.216 7.585
Te 1.886 6.568 0.647
Te 1.886 6.568 4.409
Te 1.886 1.301 2.528
Te 1.886 -1.301 7.585
Te 1.886 -6.568 5.704
Te 1.886 -6.568 9.466
CELL_PARAMETERS angstrom
1.886 -8.561 0.000
1.886 8.561 0.000
0.000 0.000 10.114
```

Results
The total magnetic moment comes out at 0.136 μB/atom. The calculation puts the total DFT energy (no corrections) at -63.7 eV per cell.

# 17
NdSmSnPd2 | PBE-GGA | relaxed Values from VASP.

Quantum ESPRESSO input file:
```
&SYSTEM
  ibrav = 0, nat = 5, ntyp = 4
/
ATOMIC_SPECIES
Nd 144.24 Nd.upf
Sm 150.36 Sm.upf
Sn 118.71 Sn.upf
Pd 106.42 Pd.upf
ATOMIC_POSITIONS angstrom
Nd 0.000 0.000 0.000
Sm 0.000 0.000 3.859
Sn 1.859 0.000 9.350
Pd 1.859 0.000 6.501
Pd 1.859 0.000 12.151
CELL_PARAMETERS angstrom
3.719 0.000 0.000
0.000 2.155 7.412
0.000 -2.155 7.412
```

Results
The total magnetic moment comes out at 0.001 μB/atom. The calculation puts the total DFT energy (no corrections) at -28.2 eV per cell.

# 18
K2Rb2IrO4 | PBE-GGA | relaxed Values from VASP.

Quantum ESPRESSO input file:
```
&SYSTEM
  ibrav = 0, nat = 9, ntyp = 4
/
ATOMIC_SPECIES
K 39.10 K.upf
Rb 85.47 Rb.upf
Ir 192.22 Ir.upf
O 16.00 O.upf
ATOMIC_POSITIONS angstrom
K 1.651 0.000 0.555
K 6.099 0.000 5.225
Rb 2.491 0.000 3.878
Rb 5.259 0.000 1.902
Ir -0.822 0.000 2.890
O 3.186 1.841 1.702
O 4.564 1.841 4.078
O 3.186 -1.841 1.702
O 4.564 -1.841 4.078
CELL_PARAMETERS angstrom
4.697 -3.202 0.000
4.697 3.202 0.000
-1.645 0.000 5.780
```

Results
The total magnetic moment comes out at 0.333 μB/atom. The calculation puts the distance to the lowest polymorph of the same formula at 0 meV per atom.

# 19
Tm2Sn2O7 | PBE-GGA | relaxed Values from VASP.

Quantum ESPRESSO input file:
```
&SYSTEM
  ibrav = 0, nat = 22, ntyp = 3
/
ATOMIC_SPECIES
Tm 168.93 Tm.upf
Sn 118.71 Sn.upf
O 16.00 O.upf
ATOMIC_POSITIONS angstrom
Tm 0.000 0.000 0.000
Tm 2.580 2.580 0.000
Tm 2.580 0.000 2.580
Tm 0.000 2.580 2.580
Sn 5.161 2.580 2.580
Sn 2.580 5.161 2.580
Sn 2.580 2.580 5.161
Sn 5.161 5.161 5.161
O 1.290 1.290 1.290
O 3.871 3.871 1.630
O 3.871 1.630 3.871
O 6.112 3.871 3.871
O 6.451 6.451 4.210
O 6.451 4.210 6.451
O 8.692 6.451 6.451
O 1.630 3.871 3.871
O 3.871 6.112 3.871
O 3.871 3.871 6.112
O 4.210 6.451 6.451
O 6.451 8.692 6.451
O 6.451 6.451 8.692
O 9.032 9.032 9.032
CELL_PARAMETERS angstrom
0.000 5.161 5.161
5.161 0.000 5.161
5.161 5.161 0.000
```

Results
The total magnetic moment comes out at 0.000 μB/atom. The calculation puts the total DFT energy (no corrections) at -160.2 eV per cell.

# 20
PrTmAl | PBE-GGA | relaxed Values from VASP.

Quantum ESPRESSO input file:
```
&SYSTEM
  ibrav = 0, nat = 3, ntyp = 3
/
ATOMIC_SPECIES
Pr 140.91 Pr.upf
Tm 168.93 Tm.upf
Al 26.98 Al.upf
ATOMIC_POSITIONS angstrom
Pr 0.000 0.000 0.000
Tm 5.380 5.380 5.380
Al 3.586 3.586 3.586
CELL_PARAMETERS angstrom
0.000 3.586 3.586
3.586 0.000 3.586
3.586 3.586 0.000
```

Results
The total magnetic moment comes out at 0.266 μB/atom. The calculation puts the distance to the lowest polymorph of the same formula at 0 meV per atom.

# 21
YLuGa2I2 | PBE-GGA | relaxed Values from VASP.

Quantum ESPRESSO input file:
```
&SYSTEM
  ibrav = 0, nat = 6, ntyp = 4
/
ATOMIC_SPECIES
Y 88.91 Y.upf
Lu 174.97 Lu.upf
Ga 69.72 Ga.upf
I 126.90 I.upf
ATOMIC_POSITIONS angstrom
Y 0.000 0.000 0.000
Lu 0.000 0.000 3.984
Ga 0.000 2.410 2.373
Ga 2.087 1.205 1.671
I 0.000 2.410 10.075
I 2.087 1.205 5.940
CELL_PARAMETERS angstrom
4.174 0.000 0.000
-2.087 3.614 0.000
0.000 0.000 12.081
```

Results
The total magnetic moment comes out at 0.000 μB/atom. The calculation puts the total DFT energy (no corrections) at -26.1 eV per cell.

# 22
NpPt | PBE-GGA | relaxed Values from VASP.

Quantum ESPRESSO input file:
```
&SYSTEM
  ibrav = 0, nat = 4, ntyp = 2
/
ATOMIC_SPECIES
Np 237.00 Np.upf
Pt 195.08 Pt.upf
ATOMIC_POSITIONS angstrom
Np 0.000 0.000 0.000
Np 0.000 0.000 3.589
Pt 0.000 2.258 1.794
Pt 1.955 1.129 5.383
CELL_PARAMETERS angstrom
3.911 0.000 0.000
-1.955 3.387 0.000
0.000 0.000 7.177
```

Results
The total magnetic moment comes out at 1.965 μB/atom. The energy of formation from the pure elements comes out at -0.81 eV per formula unit.

# 23
ThSn3Pb | PBE-GGA | relaxed Values from VASP.

Quantum ESPRESSO input file:
```
&SYSTEM
  ibrav = 0, nat = 5, ntyp = 3
/
ATOMIC_SPECIES
Th 232.04 Th.upf
Sn 118.71 Sn.upf
Pb 207.20 Pb.upf
ATOMIC_POSITIONS angstrom
Th 0.000 0.000 0.000
Sn 0.000 2.805 2.805
Sn 2.805 0.000 2.805
Sn 2.805 2.805 0.000
Pb 2.805 2.805 2.805
CELL_PARAMETERS angstrom
5.609 0.000 0.000
0.000 5.609 0.000
0.000 0.000 5.609
```

Results
The total magnetic moment comes out at 0.004 μB/atom. The calculation puts the total DFT energy (no corrections) at -19.6 eV per cell.

# 24
LaCdO3 | PBE-GGA | relaxed Values from VASP.

Quantum ESPRESSO input file:
```
&SYSTEM
  ibrav = 0, nat = 5, ntyp = 3
/
ATOMIC_SPECIES
La 138.91 La.upf
Cd 112.41 Cd.upf
O 16.00 O.upf
ATOMIC_POSITIONS angstrom
La 0.000 0.000 0.000
Cd 2.056 2.056 2.657
O 0.000 2.056 3.094
O 2.056 0.000 3.094
O 2.056 2.056 0.521
CELL_PARAMETERS angstrom
4.111 0.000 0.000
0.000 4.111 0.000
0.000 0.000 4.452
```

Results
The total magnetic moment comes out at 0.001 μB/atom. The calculation puts the total DFT energy (no corrections) at -29.5 eV per cell.